Gd4BClO7 | PBE-GGA | relaxed

The structure in POSCAR format:
```
Gd4BClO7
1.0
8.177 0.000 0.000
0.000 8.818 -0.055
0.000 -2.382 10.811
B Cl O Gd
4 4 28 16
direct
0.630 0.782 0.913
0.130 0.718 0.587
0.870 0.282 0.413
0.370 0.218 0.087
0.645 0.651 0.530
0.355 0.349 0.470
0.855 0.151 0.030
0.145 0.849 0.970
0.617 0.397 0.719
0.386 0.183 0.959
0.117 0.103 0.781
0.364 0.915 0.226
0.883 0.897 0.219
0.636 0.085 0.774
0.614 0.817 0.041
0.006 0.269 0.338
0.506 0.231 0.162
0.715 0.251 0.363
0.886 0.317 0.541
0.994 0.731 0.662
0.878 0.021 0.593
0.877 0.445 0.903
0.622 0.521 0.093
0.285 0.749 0.637
0.136 0.415 0.726
0.378 0.479 0.907
0.123 0.555 0.097
0.383 0.603 0.281
0.785 0.751 0.863
0.494 0.769 0.838
0.623 0.945 0.403
0.215 0.249 0.137
0.122 0.979 0.407
0.114 0.683 0.459
0.864 0.585 0.274
0.377 0.055 0.597
0.137 0.348 0.920
0.363 0.848 0.420
0.382 0.667 0.089
0.118 0.167 0.589
0.126 0.481 0.281
0.115 0.038 0.221
0.626 0.019 0.219
0.385 0.538 0.721
0.882 0.833 0.411
0.885 0.962 0.779
0.618 0.333 0.911
0.863 0.652 0.080
0.374 0.981 0.781
0.615 0.462 0.279
0.874 0.519 0.719
0.637 0.152 0.580
```

Values from the calculation:
The value obtained for the spin magnetization is 13.94 μB/f.u. For the electronic total energy, the calculation gives -10.897 eV per atom. The formation energy (no corrections) is -3.24 eV/atom. The space group is P2_1/c, No. 14. The value obtained for the density of states at the Fermi level is 0.00 states/eV per cell.